[1]
{"formula": "TbPa2NbN4", "functional": "GGA-PBE", "state": "relaxed", "lattice": [[-2.7969, -0.2020, -2.0260], [-3.3511, -1.1246, 4.7384], [0.2612, 5.7395, -0.9328]], "species": ["Tb", "Pa", "Pa", "Nb", "N", "N", "N", "N"], "fractional_positions": [[0.5000, 0.5000, 0.0000], [0.5000, 0.0000, 0.5000], [0.0000, 0.5000, 0.5000], [0.0000, 0.0000, 0.0000], [0.5000, 0.2384, 0.2424], [0.5000, 0.7616, 0.7576], [0.0000, 0.2405, 0.7486], [0.0000, 0.7595, 0.2514]], "spacegroup": "P2/m", "e_tot_ev_per_atom": -9.834, "magmom_total_mub_per_atom": 0.000}

***

[2]
{"formula": "Ac12Nd3Au5", "functional": "GGA-PBE", "state": "relaxed", "lattice": [[16.7746, 0.0000, 0.0000], [-5.5915, 15.8153, 0.0000], [-5.5915, -7.9076, 13.6964]], "species": ["Nd", "Nd", "Nd", "Nd", "Nd", "Nd", "Nd", "Nd", "Nd", "Nd", "Nd", "Nd", "Au", "Au", "Au", "Au", "Au", "Au", "Au", "Au", "Au", "Au", "Au", "Au", "Au", "Au", "Au", "Au", "Au", "Au", "Au", "Au", "Ac", "Ac", "Ac", "Ac", "Ac", "Ac", "Ac", "Ac", "Ac", "Ac", "Ac", "Ac", "Ac", "Ac", "Ac", "Ac", "Ac", "Ac", "Ac", "Ac", "Ac", "Ac", "Ac", "Ac", "Ac", "Ac", "Ac", "Ac", "Ac", "Ac", "Ac", "Ac", "Ac", "Ac", "Ac", "Ac", "Ac", "Ac", "Ac", "Ac", "Ac", "Ac", "Ac", "Ac", "Ac", "Ac", "Ac", "Ac"], "fractional_positions": [[0.7500, 0.3750, 0.1250], [0.8750, 0.7500, 0.1250], [0.3750, 0.7500, 0.6250], [0.2500, 0.1250, 0.3750], [0.8750, 0.1250, 0.2500], [0.3750, 0.6250, 0.2500], [0.6250, 0.3750, 0.7500], [0.1250, 0.8750, 0.7500], [0.7500, 0.8750, 0.6250], [0.6250, 0.2500, 0.3750], [0.1250, 0.2500, 0.8750], [0.2500, 0.6250, 0.8750], [0.1250, 0.3750, 0.2500], [0.0000, 0.5000, 0.0000], [0.0000, 0.0000, 0.0000], [0.3750, 0.2500, 0.1250], [0.5000, 0.0000, 0.5000], [0.5000, 0.5000, 0.0000], [0.1250, 0.7500, 0.3750], [0.7500, 0.1250, 0.8750], [0.7500, 0.6250, 0.3750], [0.3750, 0.1250, 0.7500], [0.6250, 0.8750, 0.2500], [0.5000, 0.5000, 0.5000], [0.5000, 0.0000, 0.0000], [0.0000, 0.0000, 0.5000], [0.2500, 0.3750, 0.6250], [0.2500, 0.8750, 0.1250], [0.0000, 0.5000, 0.5000], [0.8750, 0.2500, 0.6250], [0.6250, 0.7500, 0.8750], [0.8750, 0.6250, 0.7500], [0.7111, 0.1189, 0.0373], [0.3261, 0.5373, 0.4184], [0.9627, 0.3811, 0.2889], [0.5373, 0.2111, 0.1189], [0.5923, 0.7111, 0.6739], [0.9627, 0.5816, 0.1739], [0.3261, 0.7889, 0.4077], [0.0816, 0.9077, 0.1189], [0.5816, 0.9627, 0.6739], [0.7111, 0.5923, 0.1739], [0.7889, 0.4627, 0.3811], [0.8261, 0.9184, 0.0373], [0.1189, 0.7111, 0.5373], [0.3811, 0.4184, 0.0923], [0.0923, 0.9184, 0.3811], [0.4077, 0.1189, 0.5816], [0.0923, 0.1739, 0.2111], [0.4627, 0.6739, 0.0816], [0.8261, 0.9077, 0.2889], [0.1189, 0.4077, 0.0816], [0.3811, 0.9627, 0.7889], [0.5816, 0.6189, 0.4077], [0.9184, 0.8261, 0.5373], [0.7889, 0.3261, 0.9077], [0.4184, 0.3811, 0.5923], [0.0816, 0.1739, 0.4627], [0.2111, 0.6739, 0.0923], [0.1739, 0.0923, 0.7111], [0.6189, 0.0373, 0.2111], [0.8811, 0.5923, 0.9184], [0.5373, 0.3261, 0.9184], [0.5923, 0.8811, 0.4184], [0.9077, 0.8261, 0.7889], [0.9077, 0.0816, 0.6189], [0.8811, 0.2889, 0.4627], [0.1739, 0.0816, 0.9627], [0.6189, 0.5816, 0.9077], [0.4184, 0.0373, 0.3261], [0.2889, 0.4077, 0.8261], [0.2111, 0.5373, 0.6189], [0.9184, 0.0923, 0.8811], [0.6739, 0.2111, 0.5923], [0.4627, 0.7889, 0.8811], [0.0373, 0.4184, 0.8261], [0.4077, 0.2889, 0.3261], [0.0373, 0.6189, 0.7111], [0.6739, 0.4627, 0.5816], [0.2889, 0.8811, 0.9627]], "delta_e_f_ev_per_atom": 0.032, "spacegroup": "Ia-3d", "magmom_total_mub_per_atom": 0.000}

***

[3]
{"formula": "Y2PCl", "functional": "GGA-PBE", "state": "relaxed", "lattice": [[6.0910, 0.0006, -0.0009], [4.8784, 3.6471, -0.0009], [0.0007, 0.0002, 4.0313]], "species": ["Cl", "P", "Y", "Y"], "fractional_positions": [[0.5014, 0.5014, 0.6251], [0.2600, 0.2600, 0.1249], [0.0071, 0.0071, 0.1251], [0.7316, 0.7316, 0.6249]], "spacegroup": "Amm2", "e_tot_ev_per_atom": -6.347, "magmom_total_mub_per_atom": 0.000}

***

| no. | mass density (g/cm³) |
| --- | --- |
| 1 | 11.4 |
| 2 | 7.6 |
| 3 | 4.5 |